This record from Alexandria via LeMat-Bulk describes a relaxed structure of Y3Te. The functional is GGA-PBE. Values from VASP.

- SG: Pmmn
- ΔE to the lowest computed polymorph: 254 meV per atom
- Raw formation energy: -0.43 eV/atom

Geometry as Quantum ESPRESSO input:
```
&SYSTEM
  ibrav = 0, nat = 8, ntyp = 2
/
ATOMIC_SPECIES
Y 88.91 Y.upf
Te 127.60 Te.upf
ATOMIC_POSITIONS angstrom
Y 1.394 0.013 0.896
Y 1.394 1.641 3.968
Y 1.394 3.268 0.896
Y 4.181 3.295 5.357
Y 4.181 4.923 2.285
Y 4.181 6.550 5.357
Te 1.394 4.923 4.093
Te 4.181 1.641 2.160
CELL_PARAMETERS angstrom
5.575 0.000 0.000
0.000 6.564 0.000
0.000 0.000 6.253
```

This record from Alexandria via LeMat-Bulk describes a relaxed structure of YTe5. The functional is GGA-PBE. Values from VASP.

- SG: F-43m
- Raw formation energy: 0.01 eV/atom

Geometry as Quantum ESPRESSO input:
```
&SYSTEM
  ibrav = 0, nat = 6, ntyp = 2
/
ATOMIC_SPECIES
Y 88.91 Y.upf
Te 127.60 Te.upf
ATOMIC_POSITIONS angstrom
Y 0.000 0.000 0.000
Te 3.348 3.348 3.348
Te 5.596 5.596 3.348
Te 5.596 3.348 5.596
Te 6.707 6.707 6.707
Te 3.348 5.596 5.596
CELL_PARAMETERS angstrom
0.000 4.472 4.472
4.472 0.000 4.472
4.472 4.472 0.000
```

This record from Alexandria via LeMat-Bulk describes a relaxed structure of YTe5. The functional is GGA-PBE. Values from VASP.

- SG: Amm2
- Raw formation energy: -0.51 eV/atom

Geometry as Quantum ESPRESSO input:
```
&SYSTEM
  ibrav = 0, nat = 12, ntyp = 2
/
ATOMIC_SPECIES
Y 88.91 Y.upf
Te 127.60 Te.upf
ATOMIC_POSITIONS angstrom
Y 0.000 0.000 0.000
Y 0.000 2.162 8.035
Te 0.000 0.000 5.834
Te 0.000 0.000 10.248
Te 0.000 2.162 2.213
Te 0.000 2.162 13.869
Te 3.154 0.000 0.067
Te 3.154 0.000 5.907
Te 3.154 0.000 10.273
Te 3.154 2.162 2.239
Te 3.154 2.162 8.102
Te 3.154 2.162 13.942
CELL_PARAMETERS angstrom
6.309 0.000 0.000
0.000 4.325 0.000
0.000 0.000 16.069
```

This record from Alexandria via LeMat-Bulk describes a relaxed structure of YTe3. The functional is GGA-PBE. Values from VASP.

- SG: Cmmm
- Raw formation energy: -0.48 eV/atom

Geometry as Quantum ESPRESSO input:
```
&SYSTEM
  ibrav = 0, nat = 8, ntyp = 2
/
ATOMIC_SPECIES
Y 88.91 Y.upf
Te 127.60 Te.upf
ATOMIC_POSITIONS angstrom
Y 0.000 0.000 0.000
Y 2.176 2.624 0.000
Te 0.000 0.000 5.911
Te 0.000 2.624 2.137
Te 0.000 2.624 9.684
Te 2.176 0.000 2.137
Te 2.176 0.000 9.684
Te 2.176 2.624 5.911
CELL_PARAMETERS angstrom
4.352 0.000 0.000
0.000 5.249 0.000
0.000 0.000 11.822
```

This record from Alexandria via LeMat-Bulk describes a relaxed structure of YTe3. The functional is GGA-PBE. Values from VASP.

- SG: P2/m
- Raw formation energy: -0.66 eV/atom

Geometry as Quantum ESPRESSO input:
```
&SYSTEM
  ibrav = 0, nat = 4, ntyp = 2
/
ATOMIC_SPECIES
Y 88.91 Y.upf
Te 127.60 Te.upf
ATOMIC_POSITIONS angstrom
Y 0.000 0.000 0.000
Te 0.712 1.972 2.299
Te 3.017 0.000 0.000
Te 4.311 1.972 3.717
CELL_PARAMETERS angstrom
6.034 0.000 0.000
0.000 3.944 0.000
-1.011 0.000 6.016
```

This record from Alexandria via LeMat-Bulk describes a relaxed structure of Y5Te. The functional is GGA-PBE. Values from VASP.

- SG: P6/mmm
- ΔE to the lowest computed polymorph: 761 meV per atom
- Raw formation energy: 0.40 eV/atom

Geometry as Quantum ESPRESSO input:
```
&SYSTEM
  ibrav = 0, nat = 6, ntyp = 2
/
ATOMIC_SPECIES
Y 88.91 Y.upf
Te 127.60 Te.upf
ATOMIC_POSITIONS angstrom
Y -1.610 2.788 0.000
Y 0.000 3.717 2.940
Y 3.219 0.000 0.000
Y 1.610 2.788 0.000
Y 3.219 1.859 2.940
Te 0.000 0.000 2.940
CELL_PARAMETERS angstrom
6.438 0.000 0.000
-3.219 5.576 0.000
0.000 0.000 5.880
```

This record from Alexandria via LeMat-Bulk describes a relaxed structure of Y3Te. The functional is GGA-PBE. Values from VASP.

- SG: P4/mmm
- ΔE to the lowest computed polymorph: 273 meV per atom
- Raw formation energy: -0.41 eV/atom

Geometry as Quantum ESPRESSO input:
```
&SYSTEM
  ibrav = 0, nat = 4, ntyp = 2
/
ATOMIC_SPECIES
Y 88.91 Y.upf
Te 127.60 Te.upf
ATOMIC_POSITIONS angstrom
Y 0.000 0.000 0.000
Y 0.000 2.751 1.922
Y 2.751 0.000 1.922
Te 2.751 2.751 0.000
CELL_PARAMETERS angstrom
5.501 0.000 0.000
0.000 5.501 0.000
0.000 0.000 3.844
```

This record from Alexandria via LeMat-Bulk describes a relaxed structure of Y2Te. The functional is GGA-PBE. Values from VASP.

- SG: I4_1/amd
- Raw formation energy: -0.60 eV/atom

Geometry as Quantum ESPRESSO input:
```
&SYSTEM
  ibrav = 0, nat = 12, ntyp = 2
/
ATOMIC_SPECIES
Y 88.91 Y.upf
Te 127.60 Te.upf
ATOMIC_POSITIONS angstrom
Y 0.000 0.939 8.161
Y 0.000 0.939 11.777
Y 0.000 2.816 14.806
Y 0.000 2.816 18.423
Y 1.877 0.939 1.515
Y 1.877 0.939 5.131
Y 1.877 2.816 21.452
Y 1.877 2.816 25.068
Te 0.000 0.939 23.260
Te 0.000 2.816 3.323
Te 1.877 0.939 16.615
Te 1.877 2.816 9.969
CELL_PARAMETERS angstrom
3.755 0.000 0.000
0.000 3.755 0.000
0.000 0.000 26.583
```

Computed E, in the same sequence as the records: -6.07; -3.68; -4.21; -4.45; -4.63; -5.51; -6.05; -5.95 eV per atom.
Computed theoretical density, in the same sequence as the records: 5.724; 6.750; 5.506; 5.801; 5.471; 4.500; 5.628; 5.413 Mg/m³.